No. 1
Tb8Sc2In | GGA-PBE | relaxed

Properties
Crystal system   monoclinic

Unit cell a=17.6154 b=4.8970 c=7.8081 alpha=90.00 beta=105.99 gamma=90.00
Space group C2/m (No. 12)
Symmetry-distinct sites (fractional):
Tb 0.0464 0.0000 0.2250
Tb 0.0938 0.5000 0.9471
Tb 0.1378 0.0000 0.6853
Tb 0.1815 0.5000 0.4117
Sc 0.2245 0.0000 0.1329
In 0.0000 0.5000 0.5000

No. 2
TbSc3In2 | GGA-PBE | relaxed

Properties
Crystal system   orthorhombic

Unit cell a=8.5236 b=3.2943 c=21.2829 alpha=90.00 beta=90.00 gamma=90.00
Space group Pnma (No. 62)
Symmetry-distinct sites (fractional):
Tb 0.1582 0.2500 0.1619
Sc 0.0460 0.2500 0.4217
Sc 0.1076 0.2500 0.9350
Sc 0.2129 0.7500 0.8081
In 0.0192 0.2500 0.7109
In 0.2443 0.2500 0.5391

No. 3
Tb12Sc7In | GGA-PBE | relaxed

Properties
Crystal system   trigonal

Unit cell a=13.3086 b=13.3086 c=11.2887 alpha=90.00 beta=90.00 gamma=120.00
Space group R-3 (No. 148, hexagonal axes)
Symmetry-distinct sites (fractional):
Tb 0.0050 0.2653 0.0031
Tb 0.0690 0.1702 0.7512
Sc 0.0000 0.0000 0.0000
Sc 0.0628 0.5271 0.1218
In 0.0000 0.0000 0.5000

No. 4
Tb4ScIn5 | GGA-PBE | relaxed

Properties
Crystal system   tetragonal

Unit cell a=3.6631 b=3.6631 c=19.3676 alpha=90.00 beta=90.00 gamma=90.00
Space group P4/mmm (No. 123)
Symmetry-distinct sites (fractional):
Tb 0.0000 0.0000 0.1036
Tb 0.0000 0.0000 0.3097
Sc 0.0000 0.0000 0.5000
In 0.5000 0.5000 0.0000
In 0.5000 0.5000 0.2071
In 0.5000 0.5000 0.4125

No. 5
Tb5Sc2In5 | GGA-PBE | relaxed

Properties
Crystal system   monoclinic

Unit cell a=11.5461 b=5.0796 c=11.8419 alpha=90.00 beta=110.99 gamma=90.00
Space group C2/m (No. 12)
Symmetry-distinct sites (fractional):
Tb 0.0000 0.0000 0.0000
Tb 0.1327 0.0000 0.7719
Tb 0.1554 0.0000 0.5000
Sc 0.0748 0.5000 0.2587
In 0.0000 0.5000 0.5000
In 0.1655 0.5000 0.9579
In 0.2215 0.0000 0.2687

No. 6
TbSc4In | GGA-PBE | relaxed

Properties
Crystal system   monoclinic

Unit cell a=5.6199 b=9.9373 c=5.5924 alpha=90.00 beta=107.20 gamma=90.00
Space group C2/m (No. 12)
Symmetry-distinct sites (fractional):
Tb 0.0000 0.0000 0.0000
Sc 0.0000 0.1707 0.5000
Sc 0.0000 0.3349 0.0000
In 0.0000 0.5000 0.5000

No. 7
Tb8ScIn2 | GGA-PBE | relaxed

Properties
Crystal system   monoclinic

Unit cell a=8.8032 b=15.1674 c=5.6054 alpha=90.00 beta=116.10 gamma=90.00
Space group C2/m (No. 12)
Symmetry-distinct sites (fractional):
Tb 0.0000 0.2116 0.0000
Tb 0.1052 0.5000 0.7972
Tb 0.2094 0.1135 0.6232
Sc 0.0000 0.0000 0.0000
In 0.0000 0.3056 0.5000

No. 8
TbScIn | GGA-PBE | relaxed

Properties
Crystal system   trigonal

Unit cell a=5.0353 b=5.0353 c=22.5607 alpha=90.00 beta=90.00 gamma=120.00
Space group R-3m (No. 166, hexagonal axes)
Symmetry-distinct sites (fractional):
Tb 0.0000 0.0000 0.2114
Sc 0.0000 0.0000 0.3636
In 0.0000 0.0000 0.0652

Calculated total magnetic moment in order - 0.0; 0.0; 0.0; 0.0; 0.0; 0.0; 0.0; 0.0 μB/f.u.
Calculated ρ in order - 7.6; 5.8; 6.7; 8.0; 7.5; 5.0; 7.6; 6.4 Mg/m³
Calculated formation energy in order - -0.059; -0.282; 0.048; -0.464; -0.306; -0.092; -0.045; -0.196 eV per atom